Record 1
## Tl3MoBr (PBE)

Data for a relaxed structure of Tl3MoBr.

Summary:
- M_tot: 2.6 μB/f.u.
- SG: Pm-3m (221)
- Energy relative to the lowest polymorph listed for this composition: 0 meV per atom

Unit cell a=5.5335 b=5.5335 c=5.5335 alpha=90.00 beta=90.00 gamma=90.00
Last column: nearest neighbours and their distance in Å.
Element x y z (fractional)
Tl: 0.0000 0.5000 0.0000  2 Mo 2.77
Mo: 0.0000 0.0000 0.0000  6 Tl 2.77
Tl: 0.0000 0.0000 0.5000  2 Mo 2.77
Tl: 0.5000 0.0000 0.0000  2 Mo 2.77
Br: 0.5000 0.5000 0.5000  12 Tl 3.91

***

Record 2
## TlMoBr2 (PBE)

Data for a relaxed structure of TlMoBr2.

Summary:
- M_tot: 1.2 μB/f.u.
- SG: Amm2 (38)
- Energy relative to the lowest polymorph listed for this composition: 0 meV per atom

Unit cell a=3.3655 b=4.7195 c=7.8867 alpha=72.59 beta=90.00 gamma=90.00
Last column: nearest neighbours and their distance in Å.
Element x y z (fractional)
Tl: 0.5000 0.7401 0.6449  4 Mo 2.92
Mo: 0.0000 0.2645 0.5960  3 Br 2.50-2.61
Br: 0.5000 0.3971 0.3303  2 Mo 2.61
Br: 0.0000 0.0982 0.9287  1 Mo 2.50

***

Record 3
## TlMo2Br (PBE)

Data for a relaxed structure of TlMo2Br.

Summary:
- M_tot: 1.4 μB/f.u.
- SG: Cmmm (65)
- Energy relative to the lowest polymorph listed for this composition: 689 meV per atom

Unit cell a=3.1651 b=3.1651 c=9.4210 alpha=90.00 beta=90.00 gamma=123.84
Last column: nearest neighbours and their distance in Å.
Element x y z (fractional)
Br: 0.5000 0.5000 0.7500  4 Mo 2.69, 2 Br 2.98
Mo: 0.0000 0.0000 0.9874  2 Br 2.69, 2 Tl 2.89, 2 Mo 2.98
Mo: 0.0000 0.0000 0.5126  2 Br 2.69, 2 Tl 2.89, 2 Mo 2.98
Tl: 0.5000 0.5000 0.2500  4 Mo 2.89, 6 Tl 2.98-3.17

***

Record 4
## TlMoBr5 (PBE)

Data for a relaxed structure of TlMoBr5.

Summary:
- M_tot: 2.0 μB/f.u.
- SG: C2/c (15)

Unit cell a=8.4414 b=8.4414 c=10.8347 alpha=80.71 beta=119.53 gamma=125.07
Last column: nearest neighbours and their distance in Å.
Element x y z (fractional)
Br: 0.3628 0.1128 0.2500  2 Mo 2.63
Br: 0.6372 0.8872 0.7500  2 Mo 2.63
Br: 0.7673 0.9079 0.1163  1 Mo 2.53
Br: 0.8304 0.0969 0.4802  1 Mo 2.53
Br: 0.7084 0.3490 0.6163  1 Mo 2.53
Br: 0.1696 0.9031 0.5198  1 Mo 2.53
Br: 0.2327 0.0921 0.8837  1 Mo 2.53
Mo: 0.5000 0.0000 0.5000  6 Br 2.53-2.63
Br: 0.1168 0.3502 0.0198  1 Mo 2.53
Tl: 0.1954 0.4454 0.7500  5 Br 3.19-3.44
Br: 0.8832 0.6498 0.9802  1 Mo 2.53
Tl: 0.8046 0.5546 0.2500  5 Br 3.19-3.44
Br: 0.2916 0.6510 0.3837  1 Mo 2.53
Mo: 0.0000 0.0000 0.0000  6 Br 2.53-2.63

***

Record 5
## TlMo2Br (PBE)

Data for a relaxed structure of TlMo2Br.

Summary:
- M_tot: 0.0 μB/f.u.
- SG: C2/m (12)
- Energy relative to the lowest polymorph listed for this composition: 251 meV per atom

Unit cell a=6.5209 b=6.5209 c=7.7113 alpha=44.75 beta=44.75 gamma=28.60
Last column: nearest neighbours and their distance in Å.
Element x y z (fractional)
Mo: 0.5325 0.5325 0.3200  2 Mo 2.39
Tl: 0.7500 0.7500 0.7500  6 Mo 3.00-3.03, 2 Tl 3.22
Br: 0.2500 0.2500 0.2500  4 Mo 2.88
Mo: 0.9675 0.9675 0.1800  2 Mo 2.39

***

Record 6
## TlMo2Br (PBE)

Data for a relaxed structure of TlMo2Br.

Summary:
- M_tot: 0.0 μB/f.u.
- SG: P4mm (99)
- Energy relative to the lowest polymorph listed for this composition: 75 meV per atom

Unit cell a=3.2138 b=3.2138 c=8.4110 alpha=90.00 beta=90.00 gamma=90.00
Last column: nearest neighbours and their distance in Å.
Element x y z (fractional)
Mo: 0.0000 0.0000 0.0397  4 Mo 2.64, 4 Br 2.96
Mo: 0.5000 0.5000 0.2005  4 Mo 2.64
Tl: 0.0000 0.0000 0.4455  5 Mo 3.07-3.41, 4 Tl 3.21
Br: 0.5000 0.5000 0.8142  5 Mo 2.96-3.25, 4 Br 3.21

***

Record 7
## TlMoBr4 (PBE)

Data for a relaxed structure of TlMoBr4.

Summary:
- M_tot: 3.2 μB/f.u.
- SG: F-43m (216)
- Energy relative to the lowest polymorph listed for this composition: 1346 meV per atom

Unit cell a=6.4548 b=6.4548 c=6.4548 alpha=60.00 beta=60.00 gamma=60.00
Last column: nearest neighbours and their distance in Å.
Element x y z (fractional)
Br: 0.3750 0.3750 0.8751  6 Br 3.23
Tl: 0.0000 0.0000 0.0000  12 Br 3.78, 4 Mo 3.95
Mo: 0.7500 0.7500 0.7500  12 Br 3.78, 4 Tl 3.95
Br: 0.3750 0.8751 0.3750  6 Br 3.23
Br: 0.3750 0.3750 0.3750  6 Br 3.23
Br: 0.8751 0.3750 0.3750  6 Br 3.23

***

Record 8
## TlMoBr2 (PBE)

Data for a relaxed structure of TlMoBr2.

Summary:
- M_tot: 3.7 μB/f.u.
- SG: Cmmm (65)
- Energy relative to the lowest polymorph listed for this composition: 186 meV per atom

Unit cell a=3.8843 b=3.8843 c=10.2282 alpha=90.00 beta=90.00 gamma=124.60
Last column: nearest neighbours and their distance in Å.
Element x y z (fractional)
Tl: 0.5000 0.5000 0.7500  6 Tl 3.61-3.88, 4 Br 3.69
Mo: 0.5000 0.5000 0.2500  4 Br 2.62
Br: 0.0000 0.0000 0.0646  2 Mo 2.62
Br: 0.0000 0.0000 0.4354  2 Mo 2.62

***

| no. | formation energy from raw total energies (eV per formula unit) |
| --- | --- |
| 1 | 2.1 |
| 2 | -0.1 |
| 3 | 3.9 |
| 4 | -3.9 |
| 5 | 2.2 |
| 6 | 1.5 |
| 7 | 4.6 |
| 8 | 0.7 |